[1]
# BeZnFeTc

An optimized crystal structure of BeZnFeTc (GGA-PBE, OQMD).

Values from the calculation:
* total moment: 0.85 μB per atom
* SG: F-43m
* total energy: -5.749 eV per atom

Cell and atoms, written as POSCAR:
```
BeZnFeTc
1.0
-1.775 -3.126 1.965
-0.024 -0.097 4.095
-3.502 0.588 2.043
Be Zn Tc Fe
1 1 1 1
Direct
0.500 0.500 0.500
0.000 0.000 0.000
0.250 0.250 0.250
0.750 0.750 0.750
```

---

[2]
# BeZnFeTc

An optimized crystal structure of BeZnFeTc (GGA-PBE, OQMD).

Values from the calculation:
* total moment: 0.11 μB per atom
* SG: F-43m
* total energy: -5.881 eV per atom

Cell and atoms, written as POSCAR:
```
BeZnFeTc
1.0
-2.842 -0.010 2.863
-3.900 -0.070 -1.029
-2.198 -3.320 0.649
Tc Fe Zn Be
1 1 1 1
Direct
0.500 0.500 0.500
0.750 0.750 0.750
0.000 0.000 0.000
0.250 0.250 0.250
```

---

[3]
# BeFeTe

An optimized crystal structure of BeFeTe (GGA-PBE, OQMD).

Values from the calculation:
* total moment: 0.24 μB per atom
* SG: F-43m
* total energy: -4.829 eV per atom

Cell and atoms, written as POSCAR:
```
BeFeTe
1.0
0.000 2.839 2.839
2.839 0.000 2.839
2.839 2.839 0.000
Te Be Fe
1 1 1
Direct
0.750 0.750 0.750
0.250 0.250 0.250
0.000 0.000 0.000
```

---

[4]
# BeFeTe2

An optimized crystal structure of BeFeTe2 (GGA-PBE, OQMD).

Values from the calculation:
* total moment: 0.69 μB per atom
* SG: F-43m
* total energy: -3.598 eV per atom

Cell and atoms, written as POSCAR:
```
BeFeTe2
1.0
0.000 3.449 3.449
3.449 0.000 3.449
3.449 3.449 0.000
Te Fe Be
2 1 1
Direct
0.000 0.000 0.000
0.750 0.750 0.750
0.250 0.250 0.250
0.500 0.500 0.500
```

---

[5]
# BeZnFeTe

An optimized crystal structure of BeZnFeTe (GGA-PBE, OQMD).

Values from the calculation:
* total moment: 0.49 μB per atom
* SG: F-43m
* total energy: -3.412 eV per atom

Cell and atoms, written as POSCAR:
```
BeZnFeTe
1.0
-1.882 0.614 4.034
-3.291 -2.729 1.383
0.764 -2.945 3.308
Te Be Zn Fe
1 1 1 1
Direct
0.500 0.500 0.500
0.750 0.750 0.750
0.250 0.250 0.250
0.000 0.000 0.000
```

---

[6]
# BeZnFeTe

An optimized crystal structure of BeZnFeTe (GGA-PBE, OQMD).

Values from the calculation:
* total moment: 0.37 μB per atom
* SG: F-43m
* total energy: -3.516 eV per atom

Cell and atoms, written as POSCAR:
```
BeZnFeTe
1.0
-0.921 -2.853 3.135
-3.670 -2.306 -0.176
0.150 -4.256 -0.828
Zn Te Fe Be
1 1 1 1
Direct
0.000 0.000 0.000
0.500 0.500 0.500
0.250 0.250 0.250
0.750 0.750 0.750
```

---

[7]
# ThBeFe

An optimized crystal structure of ThBeFe (GGA-PBE, OQMD).

Values from the calculation:
* total moment: 0.00 μB per atom
* SG: F-43m
* total energy: -6.187 eV per atom

Cell and atoms, written as POSCAR:
```
ThBeFe
1.0
-3.833 -1.196 1.509
-3.456 2.427 -0.758
-3.036 -1.374 -2.702
Be Fe Th
1 1 1
Direct
0.000 0.000 0.000
0.750 0.750 0.750
0.500 0.500 0.500
```

---

[8]
# ThBeFe

An optimized crystal structure of ThBeFe (GGA-PBE, OQMD).

Values from the calculation:
* total moment: 0.00 μB per atom
* SG: F-43m
* total energy: -6.035 eV per atom

Cell and atoms, written as POSCAR:
```
ThBeFe
1.0
2.968 2.900 0.847
-0.101 2.126 3.662
2.919 -0.763 2.973
Fe Be Th
1 1 1
Direct
0.250 0.250 0.250
0.000 0.000 0.000
0.750 0.750 0.750
```

---

[9]
# BeTlFe2

An optimized crystal structure of BeTlFe2 (GGA-PBE, OQMD).

Values from the calculation:
* total moment: 1.15 μB per atom
* SG: F-43m
* total energy: -5.190 eV per atom

Cell and atoms, written as POSCAR:
```
BeTlFe2
1.0
2.126 1.228 3.472
-2.126 1.228 3.472
0.000 -2.455 3.472
Fe Be Tl
2 1 1
Direct
0.000 0.000 0.000
0.750 0.750 0.750
0.250 0.250 0.250
0.500 0.500 0.500
```

---

[10]
# BeTl2Fe

An optimized crystal structure of BeTl2Fe (GGA-PBE, OQMD).

Values from the calculation:
* total moment: 0.66 μB per atom
* SG: F-43m
* total energy: -3.228 eV per atom

Cell and atoms, written as POSCAR:
```
BeTl2Fe
1.0
-3.372 -3.476 -0.125
-4.670 1.133 0.614
-3.068 -0.265 -3.739
Tl Fe Be
2 1 1
Direct
0.000 0.000 0.000
0.750 0.750 0.750
0.250 0.250 0.250
0.500 0.500 0.500
```

---

[11]
# BeTlZnFe

An optimized crystal structure of BeTlZnFe (GGA-PBE, OQMD).

Values from the calculation:
* total moment: 0.50 μB per atom
* SG: F-43m
* total energy: -3.334 eV per atom

Cell and atoms, written as POSCAR:
```
BeTlZnFe
1.0
-3.221 -2.068 -2.097
-4.127 0.455 1.347
-2.845 2.269 -2.410
Zn Fe Tl Be
1 1 1 1
Direct
0.500 0.500 0.500
0.750 0.750 0.750
0.000 0.000 0.000
0.250 0.250 0.250
```

---

[12]
# ZrBeTlFe

An optimized crystal structure of ZrBeTlFe (GGA-PBE, OQMD).

Values from the calculation:
* total moment: 0.32 μB per atom
* SG: F-43m
* total energy: -5.509 eV per atom

Cell and atoms, written as POSCAR:
```
ZrBeTlFe
1.0
-3.819 -2.298 -0.564
-3.925 2.178 -0.189
-2.233 0.273 -3.889
Tl Be Fe Zr
1 1 1 1
Direct
0.000 0.000 0.000
0.250 0.250 0.250
0.750 0.750 0.750
0.500 0.500 0.500
```

---

[13]
# ZrBeTlFe

An optimized crystal structure of ZrBeTlFe (GGA-PBE, OQMD).

Values from the calculation:
* total moment: 0.47 μB per atom
* SG: F-43m
* total energy: -5.347 eV per atom

Cell and atoms, written as POSCAR:
```
ZrBeTlFe
1.0
-0.266 0.477 4.538
-3.629 2.054 1.873
-3.037 -2.450 2.381
Zr Fe Be Tl
1 1 1 1
Direct
0.250 0.250 0.250
0.750 0.750 0.750
0.500 0.500 0.500
0.000 0.000 0.000
```

---

[14]
# TmBeFe

An optimized crystal structure of TmBeFe (GGA-PBE, OQMD).

Values from the calculation:
* total moment: 0.30 μB per atom
* SG: F-43m
* total energy: -5.090 eV per atom

Cell and atoms, written as POSCAR:
```
TmBeFe
1.0
0.000 2.922 2.922
2.922 0.000 2.922
2.922 2.922 0.000
Fe Tm Be
1 1 1
Direct
0.250 0.250 0.250
0.750 0.750 0.750
0.000 0.000 0.000
```

---

[15]
# TmBeFe

An optimized crystal structure of TmBeFe (GGA-PBE, OQMD).

Values from the calculation:
* total moment: 0.58 μB per atom
* SG: F-43m
* total energy: -4.354 eV per atom

Cell and atoms, written as POSCAR:
```
TmBeFe
1.0
4.156 -1.428 -0.006
2.332 0.010 3.725
1.021 -3.797 1.963
Fe Tm Be
1 1 1
Direct
0.750 0.750 0.750
0.000 0.000 0.000
0.250 0.250 0.250
```

---

[16]
# BeZnFeW

An optimized crystal structure of BeZnFeW (GGA-PBE, OQMD).

Values from the calculation:
* total moment: 0.00 μB per atom
* SG: F-43m
* total energy: -6.381 eV per atom

Cell and atoms, written as POSCAR:
```
BeZnFeW
1.0
2.119 -1.852 2.983
-1.981 -1.967 3.005
0.116 -4.095 0.195
Fe Zn W Be
1 1 1 1
Direct
0.500 0.500 0.500
0.000 0.000 0.000
0.250 0.250 0.250
0.750 0.750 0.750
```

---

[17]
# BeZnFeW

An optimized crystal structure of BeZnFeW (GGA-PBE, OQMD).

Values from the calculation:
* total moment: 0.63 μB per atom
* SG: F-43m
* total energy: -6.141 eV per atom

Cell and atoms, written as POSCAR:
```
BeZnFeW
1.0
0.000 2.922 2.922
2.922 0.000 2.922
2.922 2.922 0.000
Be W Fe Zn
1 1 1 1
Direct
0.750 0.750 0.750
0.500 0.500 0.500
0.000 0.000 0.000
0.250 0.250 0.250
```

---

[18]
# BeZnFeW

An optimized crystal structure of BeZnFeW (GGA-PBE, OQMD).

Values from the calculation:
* total moment: 0.00 μB per atom
* SG: F-43m
* total energy: -6.499 eV per atom

Cell and atoms, written as POSCAR:
```
BeZnFeW
1.0
-1.457 -3.791 0.264
-2.873 -1.262 -2.592
0.911 -2.735 -2.873
Zn Fe W Be
1 1 1 1
Direct
0.000 0.000 0.000
0.750 0.750 0.750
0.500 0.500 0.500
0.250 0.250 0.250
```

---

[19]
# YBe2Fe

An optimized crystal structure of YBe2Fe (GGA-PBE, OQMD).

Values from the calculation:
* total moment: 0.48 μB per atom
* SG: F-43m
* total energy: -5.129 eV per atom

Cell and atoms, written as POSCAR:
```
YBe2Fe
1.0
0.000 3.070 3.070
3.070 0.000 3.070
3.070 3.070 0.000
Y Be Fe
1 2 1
Direct
0.500 0.500 0.500
0.750 0.750 0.750
0.000 0.000 0.000
0.250 0.250 0.250
```

---

[20]
# BeZn2Fe

An optimized crystal structure of BeZn2Fe (GGA-PBE, OQMD).

Values from the calculation:
* total moment: 0.46 μB per atom
* SG: P4/mmm
* total energy: -3.635 eV per atom

Cell and atoms, written as POSCAR:
```
BeZn2Fe
1.0
3.577 0.000 0.000
0.000 3.577 0.000
0.000 0.000 3.676
Zn Fe Be
2 1 1
Direct
0.500 0.000 0.500
0.000 0.500 0.500
0.500 0.500 0.000
0.000 0.000 0.000
```

---

[21]
# BeZn2Fe

An optimized crystal structure of BeZn2Fe (GGA-PBE, OQMD).

Values from the calculation:
* total moment: 0.44 μB per atom
* SG: F-43m
* total energy: -3.491 eV per atom

Cell and atoms, written as POSCAR:
```
BeZn2Fe
1.0
-1.677 0.740 3.567
-3.984 -0.186 0.420
-1.658 -2.990 2.096
Fe Zn Be
1 2 1
Direct
0.500 0.500 0.500
0.000 0.000 0.000
0.750 0.750 0.750
0.250 0.250 0.250
```

---

[22]
# Be2ZnFe

An optimized crystal structure of Be2ZnFe (GGA-PBE, OQMD).

Values from the calculation:
* total moment: 0.01 μB per atom
* SG: F-43m
* total energy: -4.126 eV per atom

Cell and atoms, written as POSCAR:
```
Be2ZnFe
1.0
-1.956 -3.239 -0.705
-3.777 -0.163 0.724
-2.513 -0.135 -2.912
Be Zn Fe
2 1 1
Direct
0.500 0.500 0.500
0.750 0.750 0.750
0.000 0.000 0.000
0.250 0.250 0.250
```

---

[23]
# Be2ZnFe

An optimized crystal structure of Be2ZnFe (GGA-PBE, OQMD).

Values from the calculation:
* total moment: 0.02 μB per atom
* SG: F-43m
* total energy: -4.126 eV per atom

Cell and atoms, written as POSCAR:
```
Be2ZnFe
1.0
3.091 2.129 0.853
-0.013 2.246 3.126
2.187 -0.912 3.034
Zn Be Fe
1 2 1
Direct
0.250 0.250 0.250
0.500 0.500 0.500
0.750 0.750 0.750
0.000 0.000 0.000
```

---

[24]
# BeZn2Fe

An optimized crystal structure of BeZn2Fe (GGA-PBE, OQMD).

Values from the calculation:
* total moment: 0.48 μB per atom
* SG: F-43m
* total energy: -3.502 eV per atom

Cell and atoms, written as POSCAR:
```
BeZn2Fe
1.0
0.000 2.869 2.869
2.869 0.000 2.869
2.869 2.869 0.000
Be Fe Zn
1 1 2
Direct
0.500 0.500 0.500
0.250 0.250 0.250
0.000 0.000 0.000
0.750 0.750 0.750
```

---

[25]
# Be2ZnFe

An optimized crystal structure of Be2ZnFe (GGA-PBE, OQMD).

Values from the calculation:
* total moment: 0.43 μB per atom
* SG: P4/mmm
* total energy: -4.326 eV per atom

Cell and atoms, written as POSCAR:
```
Be2ZnFe
1.0
3.543 0.000 0.000
0.000 3.543 0.000
0.000 0.000 3.214
Be Fe Zn
2 1 1
Direct
0.500 0.000 0.500
0.000 0.500 0.500
0.000 0.000 0.000
0.500 0.500 0.000
```

---

[26]
# ZrBeZnFe

An optimized crystal structure of ZrBeZnFe (GGA-PBE, OQMD).

Values from the calculation:
* total moment: 0.48 μB per atom
* SG: F-43m
* total energy: -5.451 eV per atom

Cell and atoms, written as POSCAR:
```
ZrBeZnFe
1.0
0.000 3.044 3.044
3.044 0.000 3.044
3.044 3.044 0.000
Zn Zr Be Fe
1 1 1 1
Direct
0.000 0.000 0.000
0.250 0.250 0.250
0.500 0.500 0.500
0.750 0.750 0.750
```

---

[27]
# ZrBeZnFe

An optimized crystal structure of ZrBeZnFe (GGA-PBE, OQMD).

Values from the calculation:
* total moment: 0.38 μB per atom
* SG: F-43m
* total energy: -5.424 eV per atom

Cell and atoms, written as POSCAR:
```
ZrBeZnFe
1.0
0.000 3.041 3.041
3.041 0.000 3.041
3.041 3.041 0.000
Be Zr Zn Fe
1 1 1 1
Direct
0.250 0.250 0.250
0.500 0.500 0.500
0.000 0.000 0.000
0.750 0.750 0.750
```

---

[28]
# BeGaGeIr

An optimized crystal structure of BeGaGeIr (GGA-PBE, OQMD).

Values from the calculation:
* total moment: 0.00 μB per atom
* SG: F-43m
* total energy: -4.923 eV per atom

Cell and atoms, written as POSCAR:
```
BeGaGeIr
1.0
-2.568 -2.662 -2.190
-4.045 -0.642 1.305
-3.275 1.577 -2.296
Be Ga Ge Ir
1 1 1 1
Direct
0.750 0.750 0.750
0.000 0.000 0.000
0.500 0.500 0.500
0.250 0.250 0.250
```

---

[29]
# BeGaGeIr

An optimized crystal structure of BeGaGeIr (GGA-PBE, OQMD).

Values from the calculation:
* total moment: 0.00 μB per atom
* SG: F-43m
* total energy: -4.896 eV per atom

Cell and atoms, written as POSCAR:
```
BeGaGeIr
1.0
-2.057 0.776 3.694
-1.734 3.866 0.723
-4.272 0.469 0.023
Ga Ir Ge Be
1 1 1 1
Direct
0.500 0.500 0.500
0.000 0.000 0.000
0.250 0.250 0.250
0.750 0.750 0.750
```

---

[30]
# BeGaGeIr

An optimized crystal structure of BeGaGeIr (GGA-PBE, OQMD).

Values from the calculation:
* total moment: 0.00 μB per atom
* SG: F-43m
* total energy: -4.876 eV per atom

Cell and atoms, written as POSCAR:
```
BeGaGeIr
1.0
2.137 -0.523 3.720
-1.865 1.108 3.738
-1.234 -3.061 2.790
Ir Ge Ga Be
1 1 1 1
Direct
0.000 0.000 0.000
0.500 0.500 0.500
0.250 0.250 0.250
0.750 0.750 0.750
```

---

[31]
# HfBeGa

An optimized crystal structure of HfBeGa (GGA-PBE, OQMD).

Values from the calculation:
* total moment: 0.00 μB per atom
* SG: F-43m
* total energy: -5.077 eV per atom

Cell and atoms, written as POSCAR:
```
HfBeGa
1.0
-3.969 0.281 1.705
-1.337 3.717 1.771
-3.040 2.368 -1.973
Be Hf Ga
1 1 1
Direct
0.250 0.250 0.250
0.000 0.000 0.000
0.750 0.750 0.750
```